[1]
# MnRe3F | Alexandria via LeMat-Bulk | PBE with a Hubbard U | optimized geometry
data_MnRe3F
_cell_length_a 4.223
_cell_length_b 4.223
_cell_length_c 4.223
_cell_angle_alpha 90.00
_cell_angle_beta 90.00
_cell_angle_gamma 90.00
_space_group_name_H-M_alt 'P 1'
_space_group_IT_number 1
_space_group_name_Hall 'P 1'
loop_
_atom_site_label
_atom_site_type_symbol
_atom_site_fract_x
_atom_site_fract_y
_atom_site_fract_z
_atom_site_occupancy
Re1 Re 0.000 0.500 0.000 1
Re2 Re 0.000 0.000 0.500 1
Re3 Re 0.500 0.000 0.000 1
Mn1 Mn 0.500 0.500 0.500 1
F1 F 0.000 0.000 0.000 1
# density of states at the Fermi level	6.02	states/eV/cell
# calculated total energy	-39.76	eV per cell
# magnetization	0.449	μB/atom
# SG	Pm-3m (221)

[2]
# Mn3ReF | Alexandria via LeMat-Bulk | PBE with a Hubbard U | optimized geometry
data_Mn3ReF
_cell_length_a 4.321
_cell_length_b 4.321
_cell_length_c 4.321
_cell_angle_alpha 90.00
_cell_angle_beta 90.00
_cell_angle_gamma 90.00
_space_group_name_H-M_alt 'P 1'
_space_group_IT_number 1
_space_group_name_Hall 'P 1'
loop_
_atom_site_label
_atom_site_type_symbol
_atom_site_fract_x
_atom_site_fract_y
_atom_site_fract_z
_atom_site_occupancy
Re1 Re 0.500 0.500 0.500 1
Mn1 Mn 0.000 0.500 0.000 1
Mn2 Mn 0.000 0.000 0.500 1
Mn3 Mn 0.500 0.000 0.000 1
F1 F 0.000 0.000 0.000 1
# density of states at the Fermi level	2.54	states/eV/cell
# calculated total energy	-35.28	eV per cell
# magnetization	2.718	μB/atom
# SG	Pm-3m (221)

[3]
# MnReF2 | Alexandria via LeMat-Bulk | PBE with a Hubbard U | optimized geometry
data_MnReF2
_cell_length_a 7.988
_cell_length_b 7.988
_cell_length_c 7.988
_cell_angle_alpha 19.97
_cell_angle_beta 19.97
_cell_angle_gamma 19.97
_space_group_name_H-M_alt 'P 1'
_space_group_IT_number 1
_space_group_name_Hall 'P 1'
loop_
_atom_site_label
_atom_site_type_symbol
_atom_site_fract_x
_atom_site_fract_y
_atom_site_fract_z
_atom_site_occupancy
Re1 Re 0.000 0.000 0.000 1
Mn1 Mn 0.500 0.500 0.500 1
F1 F 0.913 0.913 0.913 1
F2 F 0.087 0.087 0.087 1
# density of states at the Fermi level	1.57	states/eV/cell
# calculated total energy	-27.15	eV per cell
# magnetization	1.153	μB/atom
# SG	R-3m (166)